# 1
# YZnSe2 (PBE, optimized geometry)
# Formation energy from raw total energies (eV per atom): -1.0686
# D(E_F) (states/eV/f.u.): 2.36
# Symmetry: R-3m (166)
data_YZnSe2
_chemical_formula_sum 'Y3 Zn3 Se6'
_space_group_name_H-M_alt 'P 1'
_space_group_IT_number 1
_space_group_name_Hall 'P 1'
_cell_length_a 3.956
_cell_length_b 3.956
_cell_length_c 20.907
_cell_angle_alpha 90.00
_cell_angle_beta 90.00
_cell_angle_gamma 120.00
loop_
_atom_site_label
_atom_site_type_symbol
_atom_site_fract_x
_atom_site_fract_y
_atom_site_fract_z
_atom_site_occupancy
Y1 Y 0.000 0.000 0.000 1
Y2 Y 0.333 0.667 0.667 1
Y3 Y 0.667 0.333 0.333 1
Zn1 Zn 0.000 0.000 0.500 1
Zn2 Zn 0.333 0.667 0.167 1
Zn3 Zn 0.667 0.333 0.833 1
Se1 Se 0.000 0.000 0.249 1
Se2 Se 0.000 0.000 0.751 1
Se3 Se 0.333 0.667 0.418 1
Se4 Se 0.333 0.667 0.916 1
Se5 Se 0.667 0.333 0.084 1
Se6 Se 0.667 0.333 0.582 1

---

# 2
# BaMg2SiRh (PBE, optimized geometry)
# Formation energy from raw total energies (eV per atom): -0.3909
# D(E_F) (states/eV/f.u.): 3.36
# Symmetry: P4/mmm (123)
data_BaMg2SiRh
_chemical_formula_sum 'Ba1 Mg2 Si1 Rh1'
_space_group_name_H-M_alt 'P 1'
_space_group_IT_number 1
_space_group_name_Hall 'P 1'
_cell_length_a 5.079
_cell_length_b 5.079
_cell_length_c 4.684
_cell_angle_alpha 90.00
_cell_angle_beta 90.00
_cell_angle_gamma 90.00
loop_
_atom_site_label
_atom_site_type_symbol
_atom_site_fract_x
_atom_site_fract_y
_atom_site_fract_z
_atom_site_occupancy
Ba1 Ba 0.000 0.000 0.000 1
Mg1 Mg 0.000 0.500 0.500 1
Mg2 Mg 0.500 0.000 0.500 1
Si1 Si 0.500 0.500 0.000 1
Rh1 Rh 0.500 0.500 0.500 1

---

# 3
# SrTaTe2 (PBE, optimized geometry)
# Formation energy from raw total energies (eV per atom): -0.0706
# D(E_F) (states/eV/f.u.): 4.41
# Relative energy among the computed polymorphs (meV per atom): 397
# Symmetry: P4mm (99)
data_SrTaTe2
_chemical_formula_sum 'Sr1 Ta1 Te2'
_space_group_name_H-M_alt 'P 1'
_space_group_IT_number 1
_space_group_name_Hall 'P 1'
_cell_length_a 3.539
_cell_length_b 3.539
_cell_length_c 9.898
_cell_angle_alpha 90.00
_cell_angle_beta 90.00
_cell_angle_gamma 90.00
loop_
_atom_site_label
_atom_site_type_symbol
_atom_site_fract_x
_atom_site_fract_y
_atom_site_fract_z
_atom_site_occupancy
Sr1 Sr 0.000 0.000 0.000 1
Ta1 Ta 0.500 0.500 0.268 1
Te1 Te 0.000 0.000 0.398 1
Te2 Te 0.500 0.500 0.763 1

---

The records above give, respectively, E_tot values of -0.174; -0.146; -0.185 hartree per atom.